(1)
Below is KTmHg2 after structural relaxation, with properties calculated at the PBE level.

Cell: 3.7696 3.7696 8.3167 Å, 90.00 90.00 90.00°
Space group P4/mmm (No. 123)
Symmetry-distinct sites (fractional):
K 0.0000 0.0000 0.0000 x1
Tm 0.0000 0.0000 0.5000 x1
Hg 0.5000 0.5000 0.3002 x2

Energy above the most stable polymorph in this dataset = 0.000 eV per atom
Final energy = -1.813 eV/atom

=====

(2)
Below is TmZrZnCd after structural relaxation, with properties calculated at the PBE level.

Cell: 3.4174 3.4174 7.4431 Å, 90.00 90.00 90.00°
Space group P4mm (No. 99)
Symmetry-distinct sites (fractional):
Tm 0.0000 0.0000 0.0000 x1
Zr 0.0000 0.0000 0.5399 x1
Zn 0.5000 0.5000 0.7574 x1
Cd 0.5000 0.5000 0.2773 x1

Energy above the most stable polymorph in this dataset = 0.000 eV per atom
Final energy = -4.026 eV/atom

=====

(3)
Below is HfTiRe2 after structural relaxation, with properties calculated at the PBE level.

Cell: 2.7679 4.8341 10.4693 Å, 90.00 90.00 90.00°
Space group Immm (No. 71)
Symmetry-distinct sites (fractional):
Hf 0.0000 0.0000 0.0000 x2
Ti 0.0000 0.0000 0.5000 x2
Re 0.0000 0.0000 0.2624 x4

Energy above the most stable polymorph in this dataset = 0.910 eV per atom
Final energy = -10.103 eV/atom

=====

Number 1: E_form -1.08 eV per formula unit. Number 2: E_form -0.90 eV per formula unit. Number 3: E_form 2.33 eV per formula unit.